(1)
Zr2BeB6 | PBE-GGA | optimized geometry

abc: 8.8473 11.1622 3.3845
angles: 90.00 90.00 90.00
Space group Pbam (No. 55)
Symmetry-distinct sites (fractional):
Zr: 0.0571 0.1312 0.0000 (multiplicity 4)
Zr: 0.1787 0.4148 0.0000 (multiplicity 4)
Be: 0.1418 0.6811 0.0000 (multiplicity 4)
B: 0.0194 0.2904 0.5000 (multiplicity 4)
B: 0.0515 0.5645 0.5000 (multiplicity 4)
B: 0.1031 0.9721 0.5000 (multiplicity 4)
B: 0.1316 0.8163 0.5000 (multiplicity 4)
B: 0.2043 0.2388 0.5000 (multiplicity 4)
B: 0.2486 0.5810 0.5000 (multiplicity 4)

Output
uncorrected energy: -7.396 eV/atom

(2)
PmAl2Au4 | PBE-GGA | optimized geometry

abc: 6.9868 6.9868 5.4406
angles: 90.00 90.00 90.00
Space group I4/mmm (No. 139)
Symmetry-distinct sites (fractional):
Pm: 0.0000 0.0000 0.0000 (multiplicity 2)
Al: 0.0000 0.5000 0.2500 (multiplicity 4)
Au: 0.2000 0.2000 0.5000 (multiplicity 8)

Output
uncorrected energy: -4.216 eV/atom

Per-record magnetization, Bohr magnetons per cell: 0.00; 0.01